Entry 1:
! Ba3LaS (PBE, relaxed); values from VASP
! crystal system = cubic
! energy relative to the elements, uncorrected = 0.462 eV per atom
! space-group type = Pm-3m
&SYSTEM
  ibrav = 0, nat = 5, ntyp = 3
/
ATOMIC_SPECIES
Ba 137.33 Ba.upf
La 138.91 La.upf
S 32.06 S.upf
CELL_PARAMETERS angstrom
6.227 0.000 0.000
0.000 6.227 0.000
0.000 0.000 6.227
ATOMIC_POSITIONS angstrom
Ba 0.000 0.000 3.114
Ba 0.000 3.114 0.000
Ba 3.114 0.000 0.000
La 0.000 0.000 0.000
S 3.114 3.114 3.114

Entry 2:
! ZrB4Os (PBE, relaxed); values from VASP
! formation enthalpy at 0 K = -0.515 eV per atom
! crystal system = orthorhombic
! space-group type = Pbam
&SYSTEM
  ibrav = 0, nat = 24, ntyp = 3
/
ATOMIC_SPECIES
Zr 91.22 Zr.upf
B 10.81 B.upf
Os 190.23 Os.upf
CELL_PARAMETERS angstrom
5.883 0.000 0.000
0.000 11.420 0.000
0.000 0.000 3.481
ATOMIC_POSITIONS angstrom
Zr 0.758 1.710 0.000
Zr 2.183 7.420 0.000
Zr 3.700 4.000 0.000
Zr 5.124 9.711 0.000
B 0.169 7.920 1.741
B 0.678 6.252 1.741
B 0.778 11.072 1.741
B 1.207 9.274 1.741
B 1.734 3.564 1.741
B 2.163 5.362 1.741
B 2.263 0.542 1.741
B 2.773 2.210 1.741
B 3.110 9.210 1.741
B 3.620 10.879 1.741
B 3.719 6.058 1.741
B 4.148 7.856 1.741
B 4.676 2.146 1.741
B 5.105 0.348 1.741
B 5.205 5.169 1.741
B 5.714 3.500 1.741
Os 0.828 4.607 0.000
Os 2.113 10.317 0.000
Os 3.770 1.103 0.000
Os 5.054 6.813 0.000

Entry 3:
! Tm6Ni2Os (PBE, relaxed); values from VASP
! formation enthalpy at 0 K = -0.324 eV per atom
! crystal system = orthorhombic
! space-group type = Immm
&SYSTEM
  ibrav = 0, nat = 18, ntyp = 3
/
ATOMIC_SPECIES
Tm 168.93 Tm.upf
Ni 58.69 Ni.upf
Os 190.23 Os.upf
CELL_PARAMETERS angstrom
-4.599 4.644 4.716
4.599 -4.644 4.716
4.599 4.644 -4.716
ATOMIC_POSITIONS angstrom
Tm 4.599 -2.808 3.101
Tm 2.893 0.000 2.428
Tm 6.305 0.000 2.428
Tm 2.981 2.424 0.000
Tm 6.217 2.424 0.000
Tm 0.000 1.836 1.615
Tm 4.599 2.808 3.101
Tm -1.618 2.220 4.716
Tm 1.618 2.220 4.716
Tm -1.706 4.644 2.288
Tm 1.706 4.644 2.288
Tm 0.000 7.452 1.615
Ni 1.422 0.000 0.000
Ni 7.776 0.000 0.000
Ni 0.000 0.000 3.575
Ni 0.000 0.000 5.857
Os 4.599 0.000 0.000
Os 0.000 4.644 0.000

Entry 4:
! PuSi2OsW (PBE, relaxed); values from VASP
! crystal system = tetragonal
! energy relative to the elements, uncorrected = -0.332 eV per atom
! space-group type = I-4m2
&SYSTEM
  ibrav = 0, nat = 5, ntyp = 4
/
ATOMIC_SPECIES
Pu 244.00 Pu.upf
Si 28.09 Si.upf
Os 190.23 Os.upf
W 183.84 W.upf
CELL_PARAMETERS angstrom
-1.998 1.998 5.383
1.998 -1.998 5.383
1.998 1.998 -5.383
ATOMIC_POSITIONS angstrom
Pu 0.000 0.000 0.000
Si 0.000 0.000 4.182
Si 0.000 0.000 6.583
Os 0.000 1.998 2.691
W 1.998 0.000 2.691

Calculated energy (eV/atom), listed in the same order as above: -2.50; -8.26; -5.84; -10.20